1.
The following is a DFT calculation (GGA-PBE) of a geometry-optimized SrNiSb2Pd structure.

a b c (Å): 4.6012 4.6012 10.7048
angles (deg): 90.00 90.00 90.00
Last column: nearest neighbours and their distance in Å.
Space group P4/nmm (No. 129, origin choice 2)
Symmetry-distinct sites (fractional):
Sr  0.2500  0.2500  0.2372 [2 per cell]  4 Ni 3.43, 9 Sb 3.52-3.74, 4 Pd 3.52
Ni  0.2500  0.7500  0.0000 [2 per cell]  4 Sb 2.59
Sb  0.2500  0.2500  0.8879 [2 per cell]  4 Ni 2.59, 1 Pd 2.68
Sb  0.2500  0.7500  0.5000 [2 per cell]  4 Pd 2.73
Pd  0.2500  0.2500  0.6371 [2 per cell]  5 Sb 2.68-2.73

Properties
- E_tot (eV/atom) = -4.784
- M_tot (μB/f.u.) = 0.0
- calculated density (g/cm³) = 7.27



2.
The following is a DFT calculation (GGA-PBE) of a geometry-optimized KSmTeO structure.

a b c (Å): 4.3071 4.3071 10.7469
angles (deg): 90.00 90.00 90.00
Last column: nearest neighbours and their distance in Å.
Space group P4/nmm (No. 129, origin choice 2)
Symmetry-distinct sites (fractional):
K  0.2500  0.7500  0.0000 [2 per cell]  4 K 3.05, 4 Te 3.31
Sm  0.2500  0.2500  0.4080 [2 per cell]  4 O 2.37
Te  0.2500  0.2500  0.7664 [2 per cell]  4 K 3.31, 4 Sm 3.58, 4 O 3.58
O  0.2500  0.7500  0.5000 [2 per cell]  4 Sm 2.37

Properties
- energy above the most stable polymorph in this dataset (meV per atom) = 162
- E_tot (eV/atom) = -5.398
- M_tot (μB/f.u.) = 0.0
- calculated density (g/cm³) = 5.55



3.
The following is a DFT calculation (GGA-PBE) of a geometry-optimized Gd2DyIn3Pd3 structure.

a b c (Å): 3.8907 13.3139 7.7048
angles (deg): 90.00 90.00 90.00
Last column: nearest neighbours and their distance in Å.
Space group Amm2 (No. 38)
Symmetry-distinct sites (fractional):
Gd  0.0000  0.2046  0.0000 [4 per cell]  5 Pd 3.04-3.15, 6 In 3.22-3.38
Dy  0.0000  0.0000  0.3869 [2 per cell]  5 Pd 3.02-3.14, 6 In 3.22-3.37
In  0.5000  0.0000  0.0543 [2 per cell]  4 Pd 2.79-2.89
In  0.5000  0.1286  0.6663 [4 per cell]  4 Pd 2.78-2.91
Pd  0.0000  0.0000  0.7951 [2 per cell]  6 In 2.78-2.79
Pd  0.5000  0.1658  0.2961 [4 per cell]  3 In 2.89-2.91, 2 Dy 3.02, 4 Gd 3.04

Properties
- E_tot (eV/atom) = -5.002
- M_tot (μB/f.u.) = 0.0
- calculated density (g/cm³) = 9.49



4.
The following is a DFT calculation (GGA-PBE) of a geometry-optimized HfZr2NiAs4Pd3 structure.

a b c (Å): 6.5877 3.9194 7.6317
angles (deg): 90.00 90.15 90.00
Last column: nearest neighbours and their distance in Å.
Space group Pm (No. 6)
Symmetry-distinct sites (fractional):
Hf  0.0000  0.0000  0.0000 [1 per cell]  5 As 2.75-2.87, 3 Pd 2.91, 2 Ni 3.05
Zr  0.4321  0.5000  0.4856 [1 per cell]  5 As 2.70-2.89, 1 Ni 2.97, 2 Pd 2.99
Zr  0.9298  0.5000  0.6281 [1 per cell]  5 As 2.79-2.87, 5 Pd 2.97-3.05, 1 Ni 3.09
Ni  0.3146  0.5000  0.8606 [1 per cell]  4 As 2.37-2.64
As  0.2209  0.0000  0.6954 [1 per cell]  2 Ni 2.41, 2 Pd 2.59
As  0.2527  0.5000  0.1664 [1 per cell]  1 Ni 2.37, 2 Pd 2.65
As  0.7048  0.5000  0.9405 [1 per cell]  3 Pd 2.49-2.50, 1 Ni 2.64
As  0.7100  0.0000  0.4294 [1 per cell]  4 Pd 2.56-2.71, 2 Zr 2.72
Pd  0.1158  0.0000  0.3686 [1 per cell]  4 As 2.59-2.71, 2 Pd 2.83
Pd  0.6077  0.0000  0.7549 [1 per cell]  4 As 2.50-2.59
Pd  0.8410  0.5000  0.2457 [1 per cell]  4 As 2.49-2.78

Properties
- energy above the most stable polymorph in this dataset (meV per atom) = 3
- E_tot (eV/atom) = -6.885
- M_tot (μB/f.u.) = 0.0
- calculated density (g/cm³) = 8.75



5.
The following is a DFT calculation (GGA-PBE) of a geometry-optimized PmZrIn structure.

a b c (Å): 7.2378 7.2378 7.2378
angles (deg): 90.00 90.00 90.00
Last column: nearest neighbours and their distance in Å.
Space group F-43m (No. 216)
Symmetry-distinct sites (fractional):
Pm  0.0000  0.0000  0.0000 [4 per cell]  4 Zr 3.13, 4 In 3.13
Zr  0.2500  0.2500  0.2500 [4 per cell]  4 Pm 3.13
In  0.2500  0.2500  0.7500 [4 per cell]  4 Pm 3.13

Properties
- energy above the most stable polymorph in this dataset (meV per atom) = 530
- E_tot (eV/atom) = -4.639
- M_tot (μB/f.u.) = 2.0
- calculated density (g/cm³) = 6.15



6.
The following is a DFT calculation (GGA-PBE) of a geometry-optimized CuIr2Se4 structure.

a b c (Å): 7.3761 7.3761 10.4561
angles (deg): 90.00 90.00 90.00
Last column: nearest neighbours and their distance in Å.
Space group I4_1/amd (No. 141, origin choice 2)
Symmetry-distinct sites (fractional):
Cu  0.0000  0.2500  0.3750 [4 per cell]  4 Se 2.45
Ir  0.0000  0.0000  0.0000 [8 per cell]  6 Se 2.51
Se  0.0000  0.0202  0.7607 [16 per cell]  1 Cu 2.45, 3 Ir 2.51

Properties
- E_tot (eV/atom) = -5.334
- M_tot (μB/f.u.) = 0.0
- calculated density (g/cm³) = 8.92



7.
The following is a DFT calculation (GGA-PBE) of a geometry-optimized Y2H6IrAu structure.

a b c (Å): 7.5229 7.5229 7.5229
angles (deg): 90.00 90.00 90.00
Last column: nearest neighbours and their distance in Å.
Space group Fm-3m (No. 225)
Symmetry-distinct sites (fractional):
Y  0.2500  0.2500  0.2500 [8 per cell]  12 H 2.66
H  0.0000  0.0000  0.2306 [24 per cell]  1 Ir 1.73
Ir  0.0000  0.0000  0.0000 [4 per cell]  6 H 1.73
Au  0.0000  0.0000  0.5000 [4 per cell]  6 H 2.03

Properties
- E_tot (eV/atom) = -4.890
- M_tot (μB/f.u.) = 0.0
- calculated density (g/cm³) = 8.94



8.
The following is a DFT calculation (GGA-PBE) of a geometry-optimized TbErPd structure.

a b c (Å): 6.8667 6.8667 6.8667
angles (deg): 90.00 90.00 90.00
Last column: nearest neighbours and their distance in Å.
Space group F-43m (No. 216)
Symmetry-distinct sites (fractional):
Tb  0.0000  0.0000  0.0000 [4 per cell]  4 Pd 2.97
Er  0.0000  0.0000  0.5000 [4 per cell]  4 Pd 2.97
Pd  0.2500  0.2500  0.7500 [4 per cell]  4 Tb 2.97, 4 Er 2.97

Properties
- E_tot (eV/atom) = -5.278
- M_tot (μB/f.u.) = 0.0
- calculated density (g/cm³) = 8.87



calculated density of number 6 (CuIr2Se4)? 8.92 g/cm³



Which value of M_tot does entry 7 give? 0.0 μB/f.u.



Among the records above, which one has the lowest E_tot? HfZr2NiAs4Pd3